No. 1
A geometry-optimized SrAc2Y structure, computed with GGA-PBE.

Properties
Energy of formation from the pure elements = 0.14 eV/atom
Excess energy over the best structure of this formula in the dataset = 7.2 kJ/mol of atoms

Cell lengths 8.814, 8.814, 8.814 Å; angles 90.00, 90.00, 90.00 degrees
Space group Fm-3m (No. 225)
One atom of each set of equivalent atoms:
Sr: 0.000 0.000 0.000 (multiplicity 4)
Ac: 0.250 0.250 0.250 (multiplicity 8)
Y: 0.000 0.000 0.500 (multiplicity 4)

***

No. 2
A geometry-optimized SrAc4Y structure, computed with GGA-PBE.

Properties
Energy of formation from the pure elements = 0.27 eV/atom
Excess energy over the best structure of this formula in the dataset = 22.0 kJ/mol of atoms

Cell lengths 10.379, 10.379, 10.379 Å; angles 90.00, 90.00, 90.00 degrees
Space group F-43m (No. 216)
One atom of each set of equivalent atoms:
Sr: 0.000 0.000 0.000 (multiplicity 4)
Ac: 0.123 0.123 0.377 (multiplicity 16)
Y: 0.250 0.250 0.750 (multiplicity 4)

***

No. 3
A geometry-optimized SrAc2Y structure, computed with GGA-PBE.

Properties
Energy of formation from the pure elements = 0.16 eV/atom
Excess energy over the best structure of this formula in the dataset = 9.6 kJ/mol of atoms

Cell lengths 3.8733, 3.8733, 41.1093 Å; angles 90.00, 90.00, 120.00 degrees
Space group R-3m (No. 166, hexagonal axes)
One atom of each set of equivalent atoms:
Sr: 0.0000 0.0000 0.0000 (multiplicity 3)
Ac: 0.0000 0.0000 0.0940 (multiplicity 6)
Y: 0.0000 0.0000 0.5000 (multiplicity 3)

***

No. 4
A geometry-optimized SrAc2Y structure, computed with GGA-PBE.

Properties
Energy of formation from the pure elements = 0.13 eV/atom
Excess energy over the best structure of this formula in the dataset = 6.6 kJ/mol of atoms

Cell lengths 5.616, 5.616, 5.394 Å; angles 90.00, 90.00, 90.00 degrees
Space group P4/mmm (No. 123)
One atom of each set of equivalent atoms:
Sr: 0.000 0.000 0.000 (multiplicity 1)
Ac: 0.000 0.500 0.500 (multiplicity 2)
Y: 0.500 0.500 0.000 (multiplicity 1)

***

Density values (in Mg/m³) by entry order: 6.117 6.443 5.881 6.154.
D(E_F) values (in states/eV per cell) by entry order: 21.73 38.86 16.73 6.49.